Entry 1:
A plane-wave DFT calculation with PBE was carried out for a relaxed LiSc2Ag crystal.

The calculation puts the energy at -4.3482 eV per atom. The calculation puts the calculated density at 3.99 Mg/m³. The value obtained for the total magnetic moment is 0.004 μB/atom. The volume is 85.15 Å³/f.u.

The structure belongs to space group R3m (No. 160, hexagonal axes); the cell edges are 3.1801, 3.1801 and 29.1675 Å and the angles 90.00°, 90.00° and 120.00°. Symmetry generates all atoms from Li at (0.0000, 0.0000, 0.0000), Sc at (0.0000, 0.0000, 0.5134), Sc at (0.0000, 0.0000, 0.7582) and Ag at (0.0000, 0.0000, 0.2611).


Entry 2:
A plane-wave DFT calculation with PBE was carried out for a relaxed CuTcAgCl6 crystal.

The calculation puts the calculated density at 3.88 Mg/m³. The value obtained for the total magnetic moment is 0.341 μB/atom. The value obtained for the formation energy from raw total energies is -560 meV/atom. The volume is 206.43 Å³/f.u.

The structure belongs to space group P-31c (No. 163); the cell edges are 6.3353, 6.3353 and 11.8777 Å and the angles 90.00°, 90.00° and 120.00°. Symmetry generates all atoms from Cu at (0.3333, 0.6667, 0.2500), Tc at (0.3333, 0.6667, 0.7500), Ag at (0.0000, 0.0000, 0.0000) and Cl at (0.0144, 0.3664, 0.6358).